(1)
First-principles (PBE) data for crystalline NaAl2AsS6 at its relaxed geometry, as listed in the Alexandria database.

It has space group C2/c (No. 15), with a = 12.2939 Å, b = 13.7086 Å, c = 6.5786 Å, α = 90.00°, β = 114.05° and γ = 90.00°. Symmetry generates all atoms from Na at (0.0000, 0.1480, 0.2500), Al at (0.2377, 0.0754, 0.9134), As at (0.0000, 0.2866, 0.7500), S at (0.0744, 0.3784, 0.0502), S at (0.1390, 0.2067, 0.6864) and S at (0.1965, 0.0622, 0.2120).

The calculation puts the uncorrected formation energy at -0.702 eV/atom.

***

(2)
First-principles (PBE) data for crystalline Nd2Fe2P2C at its relaxed geometry, as listed in the Alexandria database.

It has space group C2/m (No. 12), with a = 10.6816 Å, b = 3.8484 Å, c = 6.7987 Å, α = 90.00°, β = 125.83° and γ = 90.00°. Symmetry generates all atoms from Nd at (0.0608, 0.0000, 0.3093), Fe at (0.1918, 0.5000, 0.0732), P at (0.1884, 0.5000, 0.7397) and C at (0.0000, 0.5000, 0.0000).

The energy of formation from the pure elements is -0.86 eV per atom.

***

(3)
First-principles (PBE) data for crystalline Mn2RuPt at its relaxed geometry, as listed in the Alexandria database.

It has space group F-43m (No. 216), with a = 6.1157 Å, b = 6.1157 Å, c = 6.1157 Å, α = 90.00°, β = 90.00° and γ = 90.00°. Symmetry generates all atoms from Mn at (0.0000, 0.0000, 0.0000), Mn at (0.2500, 0.2500, 0.2500), Ru at (0.2500, 0.2500, 0.7500) and Pt at (0.0000, 0.0000, 0.5000).

The energy of formation from the pure elements is 0.20 eV per atom.

***

(4)
First-principles (PBE) data for crystalline Zn3Au8 at its relaxed geometry, as listed in the Alexandria database.

It has space group R-3 (No. 148, hexagonal axes), with a = 8.7196 Å, b = 8.7196 Å, c = 9.7199 Å, α = 90.00°, β = 90.00° and γ = 120.00°. Symmetry generates all atoms from Zn at (0.0000, 0.5000, 0.0000), Au at (0.0000, 0.0000, 0.3581) and Au at (0.0082, 0.7951, 0.8922).

The energy of formation from the pure elements is 0.06 eV per atom. As for the energy above the most stable polymorph in this dataset: 197.9 meV per atom.

***

(5)
First-principles (PBE) data for crystalline NpVGe at its relaxed geometry, as listed in the Alexandria database.

It has space group Cmmm (No. 65), with a = 8.0618 Å, b = 8.6387 Å, c = 3.4738 Å, α = 90.00°, β = 90.00° and γ = 90.00°. Symmetry generates all atoms from Np at (0.2113, 0.0000, 0.0000), V at (0.0000, 0.0000, 0.5000), V at (0.0000, 0.5000, 0.0000) and Ge at (0.0000, 0.2825, 0.5000).

The energy of formation from the pure elements is 0.44 eV per atom.

***

(6)
First-principles (PBE) data for crystalline Li4Pm3TmTe8 at its relaxed geometry, as listed in the Alexandria database.

It has space group R-3m (No. 166, hexagonal axes), with a = 8.8061 Å, b = 8.8061 Å, c = 21.2465 Å, α = 90.00°, β = 90.00° and γ = 120.00°. Symmetry generates all atoms from Li at (0.0000, 0.0000, 0.0000), Li at (0.0000, 0.5000, 0.0000), Pm at (0.0000, 0.5000, 0.5000), Tm at (0.0000, 0.0000, 0.5000), Te at (0.0000, 0.0000, 0.2539) and Te at (0.0080, 0.5040, 0.2525).

The calculation puts the uncorrected formation energy at -1.290 eV/atom.

***

(7)
First-principles (PBE) data for crystalline Sb2RuPt at its relaxed geometry, as listed in the Alexandria database.

It has space group C2/m (No. 12), with a = 8.3827 Å, b = 3.3519 Å, c = 5.5722 Å, α = 90.00°, β = 102.86° and γ = 90.00°. Symmetry generates all atoms from Sb at (0.2440, 0.0000, 0.2395), Ru at (0.0000, 0.5000, 0.0000) and Pt at (0.0000, 0.0000, 0.5000).

As for the energy above the most stable polymorph in this dataset: 176.3 meV per atom. The calculation puts the uncorrected formation energy at 0.038 eV/atom.

***

(8)
First-principles (PBE) data for crystalline CuPS at its relaxed geometry, as listed in the Alexandria database.

It has space group P1 (No. 1), with a = 3.4757 Å, b = 3.7009 Å, c = 9.2768 Å, α = 100.50°, β = 91.87° and γ = 113.44°. Symmetry generates all atoms from Cu at (0.0000, 0.0000, 0.0000), Cu at (0.2396, 0.4303, 0.6722), P at (0.0786, 0.1814, 0.2538), P at (0.4656, 0.8810, 0.3491), S at (0.3130, 0.5857, 0.9170) and S at (0.5475, 0.0049, 0.5810).

The calculation puts the uncorrected formation energy at -0.078 eV/atom.

***

(9)
First-principles (PBE) data for crystalline TlCr2W at its relaxed geometry, as listed in the Alexandria database.

It has space group Pm (No. 6), with a = 2.8944 Å, b = 3.8756 Å, c = 5.7886 Å, α = 90.00°, β = 96.69° and γ = 90.00°. Symmetry generates all atoms from Tl at (0.0000, 0.0000, 0.0000), Cr at (0.0313, 0.0000, 0.5199), Cr at (0.4091, 0.5000, 0.7017) and W at (0.5968, 0.5000, 0.3222).

The energy of formation from the pure elements is 0.65 eV per atom. As for the energy above the most stable polymorph in this dataset: 188.5 meV per atom.

***

(10)
First-principles (PBE) data for crystalline CaTcHg at its relaxed geometry, as listed in the Alexandria database.

It has space group F-43m (No. 216), with a = 6.8923 Å, b = 6.8923 Å, c = 6.8923 Å, α = 90.00°, β = 90.00° and γ = 90.00°. Symmetry generates all atoms from Ca at (0.0000, 0.0000, 0.0000), Tc at (0.2500, 0.2500, 0.7500) and Hg at (0.2500, 0.2500, 0.2500).

The energy of formation from the pure elements is 1.11 eV per atom. As for the energy above the most stable polymorph in this dataset: 662.7 meV per atom.

***

(11)
First-principles (PBE) data for crystalline Tm2Co12Si7 at its relaxed geometry, as listed in the Alexandria database.

It has space group P-6 (No. 174), with a = 9.0997 Å, b = 9.0997 Å, c = 3.6330 Å, α = 90.00°, β = 90.00° and γ = 120.00°. Symmetry generates all atoms from Tm at (0.0000, 0.0000, 0.0000), Tm at (0.3333, 0.6667, 0.5000), Co at (0.0467, 0.2812, 0.5000), Co at (0.1045, 0.7147, 0.0000), Co at (0.3885, 0.1829, 0.0000), Co at (0.5464, 0.4362, 0.5000), Si at (0.0644, 0.4465, 0.0000), Si at (0.2656, 0.2254, 0.5000) and Si at (0.6667, 0.3333, 0.0000).

The calculation puts the uncorrected formation energy at -0.607 eV/atom.

***

Question: Which formula does entry 4 have?
Answer: Zn3Au8